Computed, not measured: crystalline KZrF2 at its relaxed geometry at the PBE-GGA level of DFT.

Values from the calculation:
DOS(E_F) (states/eV/cell): 2.39
E_tot (eV per formula unit): -20.64
Distance to the lowest polymorph of the same formula (meV per atom): 460
Formation energy (no corrections) (meV/atom): -1813

Unit cell a=8.4679 b=8.4679 c=8.4679 alpha=21.75 beta=21.75 gamma=21.75
Fractional positions:
K (0.0000, 0.0000, 0.0000)
F (0.8989, 0.8989, 0.8989)
F (0.1011, 0.1011, 0.1011)
Zr (0.5000, 0.5000, 0.5000)